[1]
Computed, not measured: an optimized crystal structure of KNd3Te8 at the PBE level of DFT.

```
KNd3Te8
1.0
9.019 0.000 0.081
0.000 12.928 0.000
-2.375 0.000 14.241
Nd Te K
12 32 4
Direct
0.913 0.249 0.152
0.096 0.084 0.854
0.587 0.749 0.848
0.920 0.585 0.149
0.904 0.916 0.146
0.580 0.085 0.851
0.413 0.251 0.152
0.596 0.416 0.854
0.080 0.415 0.851
0.420 0.915 0.149
0.404 0.584 0.146
0.087 0.751 0.848
0.355 0.254 0.920
0.054 0.580 0.673
0.357 0.915 0.917
0.446 0.080 0.327
0.467 0.420 0.326
0.967 0.080 0.326
0.708 0.270 0.331
0.648 0.420 0.085
0.143 0.415 0.083
0.852 0.920 0.915
0.793 0.405 0.676
0.352 0.580 0.915
0.293 0.095 0.676
0.946 0.420 0.327
0.643 0.085 0.083
0.207 0.595 0.324
0.645 0.746 0.080
0.855 0.246 0.920
0.544 0.251 0.678
0.456 0.749 0.322
0.148 0.080 0.085
0.792 0.770 0.669
0.292 0.730 0.669
0.554 0.920 0.673
0.044 0.249 0.678
0.208 0.230 0.331
0.145 0.754 0.080
0.033 0.920 0.674
0.707 0.905 0.324
0.533 0.580 0.674
0.857 0.585 0.917
0.956 0.751 0.322
0.758 0.094 0.535
0.242 0.906 0.465
0.742 0.594 0.465
0.258 0.406 0.535
```

Values from the calculation:
* space-group type: No. 14
* volume: 34.645 Å³/atom
* magnetic moment: 0.00 μB/cell
* VASP energy: -4.5241 eV/atom
* formation energy without anion corrections: -1.146 eV/atom

[2]
Computed, not measured: an optimized crystal structure of CrS at the PBE level of DFT.

```
CrS
1.0
-6.743 1.217 1.296
-0.733 -6.535 2.321
1.620 2.108 6.447
Cr S
8 8
Direct
0.373 0.373 0.373
0.627 0.373 0.627
0.127 0.873 0.127
0.627 0.627 0.373
0.127 0.127 0.873
0.873 0.127 0.127
0.873 0.873 0.873
0.373 0.627 0.627
0.815 0.815 0.185
0.185 0.185 0.185
0.315 0.685 0.315
0.685 0.315 0.315
0.315 0.315 0.685
0.815 0.185 0.815
0.685 0.685 0.685
0.185 0.815 0.815
```

Values from the calculation:
* space-group type: No. 217
* D(E_F): 12.9 states/eV per cell
* volume: 21.193 Å³/atom
* magnetic moment: 8.19 μB/cell
* VASP energy: -7.2349 eV/atom
* formation energy without anion corrections: -0.359 eV/atom

[3]
Computed, not measured: an optimized crystal structure of TlBiBr4 at the PBE level of DFT.

```
TlBiBr4
1.0
7.121 2.048 0.000
0.543 8.603 0.000
-3.832 -5.326 9.015
Br Tl Bi
8 2 2
Direct
0.549 0.256 0.110
0.649 0.962 0.348
0.451 0.744 0.890
0.939 0.146 0.890
0.351 0.038 0.652
0.061 0.854 0.110
0.199 0.386 0.348
0.801 0.614 0.652
0.570 0.320 0.640
0.430 0.680 0.360
0.684 0.934 0.867
0.316 0.066 0.133
```

Values from the calculation:
* excess energy over the best structure of this formula in the dataset: 0.000 eV/atom
* space-group type: No. 15
* D(E_F): 0.0 states/eV per cell
* volume: 45.191 Å³/atom
* magnetic moment: 0.00 μB/cell
* VASP energy: -2.9469 eV/atom
* formation energy without anion corrections: -0.790 eV/atom

[4]
Computed, not measured: an optimized crystal structure of Ce6In2Re at the PBE level of DFT.

```
Ce6In2Re
1.0
7.878 0.000 -0.210
0.000 7.200 0.000
0.195 0.000 8.614
Ce In Re
12 4 2
Direct
0.436 0.500 0.680
0.754 0.752 0.986
0.564 0.500 0.320
0.754 0.248 0.986
0.254 0.252 0.486
0.746 0.252 0.514
0.936 0.000 0.180
0.064 0.000 0.820
0.246 0.248 0.014
0.254 0.748 0.486
0.746 0.748 0.514
0.246 0.752 0.014
0.018 0.500 0.749
0.518 0.000 0.249
0.482 0.000 0.751
0.982 0.500 0.251
0.500 0.500 0.000
0.000 0.000 0.500
```

Values from the calculation:
* space-group type: No. 12
* D(E_F): 34.8 states/eV per cell
* volume: 27.162 Å³/atom
* magnetic moment: 0.00 μB/cell
* VASP energy: -6.0799 eV/atom
* ΔH_f (0 K): -0.13 eV/atom

[5]
Computed, not measured: an optimized crystal structure of Er2PaRh4 at the PBE level of DFT.

```
Er2PaRh4
1.0
-0.561 -0.434 -4.403
4.141 -1.614 -0.368
-4.272 -5.562 3.351
Rh Pa Er
4 1 2
Direct
0.386 0.886 0.771
0.886 0.386 0.771
0.614 0.114 0.229
0.114 0.614 0.229
0.000 0.000 0.000
0.260 0.260 0.521
0.740 0.740 0.479
```

Values from the calculation:
* space-group type: No. 139
* D(E_F): 2.5 states/eV per cell
* volume: 20.184 Å³/atom
* magnetic moment: 0.00 μB/cell
* VASP energy: -7.5388 eV/atom
* ΔH_f (0 K): -0.68 eV/atom

[6]
Computed, not measured: an optimized crystal structure of YCuC at the PBE level of DFT.

```
YCuC
1.0
-1.255 1.028 -5.978
-0.978 -3.327 -0.367
-7.437 1.977 1.902
C Y Cu
4 4 4
Direct
0.256 0.750 0.914
0.744 0.250 0.086
0.244 0.250 0.414
0.756 0.750 0.586
0.985 0.250 0.820
0.515 0.750 0.320
0.015 0.750 0.180
0.485 0.250 0.680
0.364 0.250 0.022
0.636 0.750 0.978
0.136 0.750 0.522
0.864 0.250 0.478
```

Values from the calculation:
* space-group type: No. 62
* D(E_F): 4.2 states/eV per cell
* volume: 14.269 Å³/atom
* magnetic moment: 0.00 μB/cell
* VASP energy: -6.5258 eV/atom
* ΔH_f (0 K): 0.07 eV/atom

Question: Among the records above, which one has the highest VASP energy?
Answer: TlBiBr4